! Ac8Sn2Ru (PBE, optimized geometry); values from VASP
! Spin magnetization: 0.001 μB/cell
! Formation energy from the elements: -281 meV/atom
! V: 428 Å³ per cell
! ρ: 8.4 g cm⁻³
! Uncorrected energy: -53.244 eV/cell
! DOS at the Fermi energy: 13.2 states/eV/cell
&SYSTEM
  ibrav = 0, nat = 11, ntyp = 3
/
ATOMIC_SPECIES
Ac 227.00 Ac.upf
Sn 118.71 Sn.upf
Ru 101.07 Ru.upf
CELL_PARAMETERS angstrom
10.287 -2.454 0.000
10.287 2.454 0.000
-0.911 0.000 8.480
ATOMIC_POSITIONS crystal
Ac 0.003 0.003 0.285
Ac 0.216 0.216 0.849
Ac 0.358 0.358 0.481
Ac 0.403 0.403 0.980
Ac 0.597 0.597 0.020
Ac 0.642 0.642 0.519
Ac 0.784 0.784 0.151
Ac 0.997 0.997 0.715
Sn 0.181 0.181 0.260
Sn 0.819 0.819 0.740
Ru 0.500 0.500 0.500

---

! YHg (PBE, optimized geometry); values from VASP
! Spin magnetization: 1.058 μB/cell
! Formation energy from the elements: 78 meV/atom
! V: 222 Å³ per cell
! ρ: 8.7 g cm⁻³
! Uncorrected energy: -26.438 eV/cell
! DOS at the Fermi energy: 8.6 states/eV/cell
&SYSTEM
  ibrav = 0, nat = 8, ntyp = 2
/
ATOMIC_SPECIES
Y 88.91 Y.upf
Hg 200.59 Hg.upf
CELL_PARAMETERS angstrom
5.407 0.000 0.000
-2.704 4.683 0.000
0.000 0.000 8.761
ATOMIC_POSITIONS crystal
Y 0.000 0.000 0.250
Y 0.000 0.000 0.750
Y 0.333 0.667 0.250
Y 0.667 0.333 0.750
Hg 0.333 0.667 0.588
Hg 0.333 0.667 0.912
Hg 0.667 0.333 0.088
Hg 0.667 0.333 0.412

---

- What is the ρ in the second record?
  8.7 g cm⁻³

---

- Which of these has the lowest formation energy from the elements?
  Ac8Sn2Ru

---

- What is the formula in the first record?
  Ac8Sn2Ru

---

- Number 2 is which compound?
  YHg